The following is a DFT calculation (PBE) of crystalline ErTaTi at its relaxed geometry.

Lattice parameters (Å, degrees): 3.511 3.511 10.691 90.00 90.00 90.00
Sites, in units of the cell vectors:
Ta 0.500 0.000 0.691
Ta 0.000 0.500 0.309
Er 0.500 0.000 0.132
Er 0.000 0.500 0.868
Ti 0.500 0.000 0.431
Ti 0.000 0.500 0.569

Properties
DOS at the Fermi energy (states/eV/atom): 1.3027
DFT formation energy (eV per atom): 0.1723
Total magnetic moment (μB/cell): 0.0

=====

The following is a DFT calculation (PBE) of crystalline ErTaTi2 at its relaxed geometry.

Lattice parameters (Å, degrees): 3.475 3.475 6.789 90.00 90.00 90.00
Sites, in units of the cell vectors:
Er 0.500 0.500 0.500
Ti 0.000 0.000 0.801
Ta 0.500 0.500 0.000
Ti 0.000 0.000 0.199

Properties
DOS at the Fermi energy (states/eV/atom): 1.6572
DFT formation energy (eV per atom): 0.1151
Total magnetic moment (μB/cell): 0.0

=====

The following is a DFT calculation (PBE) of crystalline ErTm2Ta at its relaxed geometry.

Lattice parameters (Å, degrees): 3.234 3.234 11.691 82.05 82.05 60.00
Sites, in units of the cell vectors:
Tm 0.085 0.085 0.746
Tm 0.915 0.915 0.254
Ta 0.000 0.000 0.000
Er 0.500 0.500 0.500

Properties
DOS at the Fermi energy (states/eV/atom): 1.3292
DFT formation energy (eV per atom): 0.5681
Total magnetic moment (μB/cell): 0.0

=====

The following is a DFT calculation (PBE) of crystalline ErTmTa at its relaxed geometry.

Lattice parameters (Å, degrees): 4.469 4.469 7.919 90.00 90.00 90.00
Sites, in units of the cell vectors:
Tm 0.500 0.000 0.724
Tm 0.000 0.500 0.276
Er 0.000 0.500 0.720
Er 0.500 0.000 0.280
Ta 0.000 0.000 0.000
Ta 0.500 0.500 0.000

Properties
DOS at the Fermi energy (states/eV/atom): 1.0337
DFT formation energy (eV per atom): 0.3380
Total magnetic moment (μB/cell): 0.0

=====

The following is a DFT calculation (PBE) of crystalline ErTaV at its relaxed geometry.

Lattice parameters (Å, degrees): 4.751 5.592 10.470 84.47 76.89 64.86
Sites, in units of the cell vectors:
V 0.125 0.000 0.750
Er 0.850 0.300 0.000
Ta 0.413 0.000 0.174
Er 0.900 0.200 0.500
Ta 0.163 0.500 0.674
Er 0.150 0.700 0.000
V 0.875 0.500 0.250
Ta 0.337 0.500 0.326
V 0.625 0.500 0.750
Ta 0.587 0.000 0.826
V 0.875 0.000 0.250
Er 0.600 0.800 0.500

Properties
DOS at the Fermi energy (states/eV/atom): 1.3984
DFT formation energy (eV per atom): 0.3524
Total magnetic moment (μB/cell): 0.0

=====

The following is a DFT calculation (PBE) of crystalline ErTaW at its relaxed geometry.

Lattice parameters (Å, degrees): 5.216 5.216 5.903 106.14 106.14 111.76
Sites, in units of the cell vectors:
Er 0.679 0.321 0.000
W 0.750 0.250 0.500
Ta 0.829 0.829 0.658
Ta 0.171 0.171 0.342
Er 0.321 0.679 0.000
W 0.250 0.750 0.500

Properties
DOS at the Fermi energy (states/eV/atom): 1.0849
DFT formation energy (eV per atom): 0.3465
Total magnetic moment (μB/cell): 0.0

=====

The following is a DFT calculation (PBE) of crystalline ErTaW4 at its relaxed geometry.

Lattice parameters (Å, degrees): 5.403 5.403 5.403 60.00 60.00 60.00
Sites, in units of the cell vectors:
W 0.125 0.625 0.625
Ta 0.000 0.000 0.000
Er 0.250 0.250 0.250
W 0.625 0.125 0.625
W 0.625 0.625 0.625
W 0.625 0.625 0.125

Properties
DOS at the Fermi energy (states/eV/atom): 0.5670
DFT formation energy (eV per atom): 0.0549
Total magnetic moment (μB/cell): 0.0

=====

The following is a DFT calculation (PBE) of crystalline ErTaZn4 at its relaxed geometry.

Lattice parameters (Å, degrees): 5.233 5.233 5.233 60.00 60.00 60.00
Each line ends with the local moment (μB).
Sites, in units of the cell vectors:
Ta 0.250 0.250 0.250  1.03
Zn 0.128 0.624 0.624  0.02
Zn 0.624 0.624 0.128  0.02
Zn 0.624 0.128 0.624  0.02
Zn 0.624 0.624 0.624  0.02
Er 0.000 0.000 0.000  0.50

Properties
DOS at the Fermi energy (states/eV/atom): 0.3481
DFT formation energy (eV per atom): -0.0892
Total magnetic moment (μB/cell): 2.2